No. 1
This record from Alexandria describes a relaxed TlSi2Hg crystal. The functional is PBE-GGA.

The structure belongs to space group P4/mmm (No. 123); the cell edges are 3.687, 3.687 and 6.908 Å and the angles 90.00°, 90.00° and 90.00°. The inequivalent atoms are Tl at (0.000, 0.000, 0.000), Si at (0.500, 0.500, 0.322) and Hg at (0.000, 0.000, 0.500).

The energy relative to the lowest polymorph listed for this composition comes out at 379 meV per atom. Its calculated volume is 93.91 Å³/cell. The formation energy from raw total energies comes out at 552 meV per atom. As for the raw total energy: -11.3 eV per formula unit.

No. 2
This record from Alexandria describes a relaxed Tl2Si2Hg crystal. The functional is PBE-GGA.

The structure belongs to space group I4/mmm (No. 139); the cell edges are 3.508, 3.508 and 20.972 Å and the angles 90.00°, 90.00° and 90.00°. The inequivalent atoms are Tl at (0.000, 0.000, 0.124), Si at (0.000, 0.500, 0.250) and Hg at (0.000, 0.000, 0.500).

The energy relative to the lowest polymorph listed for this composition comes out at 0 meV per atom. Its calculated volume is 258.04 Å³/cell. The formation energy from raw total energies comes out at 192 meV per atom. As for the raw total energy: -14.9 eV per formula unit.

No. 3
This record from Alexandria describes a relaxed TlSi2Hg crystal. The functional is PBE-GGA.

The structure belongs to space group F-43m (No. 216); the cell edges are 7.053, 7.053 and 7.053 Å and the angles 90.00°, 90.00° and 90.00°. The inequivalent atoms are Tl at (0.000, 0.000, 0.000), Si at (0.000, 0.000, 0.500), Si at (0.250, 0.250, 0.750) and Hg at (0.250, 0.250, 0.250).

The energy relative to the lowest polymorph listed for this composition comes out at 439 meV per atom. Its calculated volume is 350.88 Å³/cell. The formation energy from raw total energies comes out at 612 meV per atom. As for the raw total energy: -11.1 eV per formula unit.

No. 4
This record from Alexandria describes a relaxed TlSi2Hg2 crystal. The functional is PBE-GGA.

The structure belongs to space group P4/mbm (No. 127); the cell edges are 7.559, 7.559 and 4.048 Å and the angles 90.00°, 90.00° and 90.00°. The inequivalent atoms are Tl at (0.000, 0.000, 0.000), Si at (0.111, 0.389, 0.000) and Hg at (0.185, 0.685, 0.500).

The energy relative to the lowest polymorph listed for this composition comes out at 158 meV per atom. Its calculated volume is 231.27 Å³/cell. The formation energy from raw total energies comes out at 415 meV per atom. As for the raw total energy: -11.7 eV per formula unit.

Q: Number 4 is which compound?
A: TlSi2Hg2

Q: Among the records above, which one has the highest raw total energy?
A: number 3